Sm2Y2Er: relaxed, PBE-GGA.

Values from the calculation:
Total magnetic moment = 0.0 μB/cell
Symmetry = Imma
Formation energy from the elements = 0.1377 eV/atom
Energy above the lowest structure with this stoichiometry = 35.3 meV per atom

a = 16.158 Å, b = 16.158 Å, c = 16.158 Å
α = 167.05°, β = 159.60°, γ = 24.24°
Positions (direct):
Sm  0.272  0.022  0.250
Sm  0.370  0.120  0.250
Sm  0.630  0.880  0.750
Sm  0.728  0.978  0.750
Y  0.056  0.806  0.250
Y  0.458  0.708  0.750
Y  0.542  0.292  0.250
Y  0.944  0.194  0.750
Er  0.170  0.420  0.750
Er  0.830  0.580  0.250



Sm5Y3Er2: relaxed, PBE-GGA.

Values from the calculation:
Total magnetic moment = 0.0 μB/cell
Symmetry = C2/c
Formation energy from the elements = 0.1921 eV/atom

a = 9.223 Å, b = 9.223 Å, c = 9.894 Å
α = 108.20°, β = 108.20°, γ = 109.14°
Positions (direct):
Sm  0.018  0.982  0.750
Sm  0.133  0.390  0.774
Sm  0.227  0.773  0.750
Sm  0.390  0.133  0.274
Sm  0.476  0.524  0.250
Sm  0.524  0.476  0.750
Sm  0.610  0.867  0.726
Sm  0.773  0.227  0.250
Sm  0.867  0.610  0.226
Sm  0.982  0.018  0.250
Y  0.219  0.466  0.448
Y  0.274  0.726  0.250
Y  0.466  0.219  0.948
Y  0.534  0.781  0.052
Y  0.726  0.274  0.750
Y  0.781  0.534  0.552
Er  0.020  0.273  0.055
Er  0.273  0.020  0.555
Er  0.727  0.980  0.445
Er  0.980  0.727  0.945



Sm9Y2Er3: relaxed, PBE-GGA.

Values from the calculation:
Total magnetic moment = 0.0 μB/cell
Symmetry = P6_3/m
Formation energy from the elements = 0.2488 eV/atom

a = 9.016 Å, b = 9.016 Å, c = 13.882 Å
α = 90.00°, β = 90.00°, γ = 120.00°
Positions (direct):
Sm  0.083  0.481  0.250
Sm  0.132  0.723  0.042
Sm  0.132  0.723  0.458
Sm  0.277  0.409  0.042
Sm  0.277  0.409  0.458
Sm  0.398  0.917  0.250
Sm  0.409  0.132  0.542
Sm  0.409  0.132  0.958
Sm  0.481  0.398  0.750
Sm  0.519  0.602  0.250
Sm  0.591  0.868  0.042
Sm  0.591  0.868  0.458
Sm  0.602  0.083  0.750
Sm  0.723  0.591  0.542
Sm  0.723  0.591  0.958
Sm  0.868  0.277  0.542
Sm  0.868  0.277  0.958
Sm  0.917  0.519  0.750
Y  0.333  0.667  0.642
Y  0.333  0.667  0.858
Y  0.667  0.333  0.142
Y  0.667  0.333  0.358
Er  0.078  0.250  0.750
Er  0.173  0.922  0.750
Er  0.250  0.173  0.250
Er  0.750  0.827  0.750
Er  0.827  0.078  0.250
Er  0.922  0.750  0.250



Sm8Y5Er: relaxed, PBE-GGA.

Values from the calculation:
Total magnetic moment = 0.0 μB/cell
Symmetry = I-4
Formation energy from the elements = 0.2625 eV/atom

a = 8.545 Å, b = 8.545 Å, c = 8.545 Å
α = 110.95°, β = 110.95°, γ = 106.55°
Positions (direct):
Sm  0.077  0.337  0.604
Sm  0.161  0.430  0.086
Sm  0.344  0.075  0.914
Sm  0.527  0.923  0.260
Sm  0.570  0.656  0.731
Sm  0.663  0.266  0.740
Sm  0.734  0.473  0.396
Sm  0.925  0.839  0.269
Y  0.035  0.719  0.905
Y  0.281  0.186  0.315
Y  0.500  0.500  0.000
Y  0.814  0.130  0.095
Y  0.870  0.965  0.685
Er  0.250  0.750  0.500



SmY2Er8: relaxed, PBE-GGA.

Values from the calculation:
Total magnetic moment = 0.0 μB/cell
Symmetry = C2/m
Formation energy from the elements = 0.1564 eV/atom
Energy above the lowest structure with this stoichiometry = 36.6 meV per atom

a = 9.652 Å, b = 9.652 Å, c = 5.904 Å
α = 107.73°, β = 107.73°, γ = 122.90°
Positions (direct):
Sm  0.000  0.000  0.000
Y  0.311  0.689  0.500
Y  0.689  0.311  0.500
Er  0.098  0.358  0.726
Er  0.201  0.799  0.000
Er  0.358  0.098  0.726
Er  0.496  0.496  0.255
Er  0.504  0.504  0.745
Er  0.642  0.902  0.274
Er  0.799  0.201  0.000
Er  0.902  0.642  0.274



SmYEr5: relaxed, PBE-GGA.

Values from the calculation:
Total magnetic moment = 0.0 μB/cell
Symmetry = Immm
Formation energy from the elements = 1.1301 eV/atom
Energy above the lowest structure with this stoichiometry = 937.3 meV per atom

a = 7.872 Å, b = 7.872 Å, c = 7.872 Å
α = 137.10°, β = 114.06°, γ = 81.94°
Positions (direct):
Sm  0.000  0.000  0.000
Y  0.500  0.500  0.000
Er  0.000  0.500  0.500
Er  0.243  0.243  0.000
Er  0.322  0.000  0.322
Er  0.678  0.000  0.678
Er  0.757  0.757  0.000



Sm15Y2Er2: relaxed, PBE-GGA.

Values from the calculation:
Total magnetic moment = 0.0 μB/cell
Symmetry = R-3m
Formation energy from the elements = 0.2781 eV/atom

a = 8.842 Å, b = 8.842 Å, c = 8.842 Å
α = 78.51°, β = 78.51°, γ = 78.51°
Positions (direct):
Sm  0.000  0.000  0.500
Sm  0.000  0.297  0.703
Sm  0.000  0.500  0.000
Sm  0.000  0.703  0.297
Sm  0.154  0.621  0.621
Sm  0.297  0.000  0.703
Sm  0.297  0.703  0.000
Sm  0.379  0.379  0.846
Sm  0.379  0.846  0.379
Sm  0.500  0.000  0.000
Sm  0.621  0.154  0.621
Sm  0.621  0.621  0.154
Sm  0.703  0.000  0.297
Sm  0.703  0.297  0.000
Sm  0.846  0.379  0.379
Y  0.094  0.094  0.094
Y  0.906  0.906  0.906
Er  0.315  0.315  0.315
Er  0.685  0.685  0.685



Sm5Y12Er2: relaxed, PBE-GGA.

Values from the calculation:
Total magnetic moment = 0.0 μB/cell
Symmetry = P-1
Formation energy from the elements = 0.0207 eV/atom
Energy above the lowest structure with this stoichiometry = 0.0 meV per atom

a = 6.196 Å, b = 9.473 Å, c = 11.305 Å
α = 90.05°, β = 100.52°, γ = 109.05°
Positions (direct):
Sm  0.000  0.000  0.000
Sm  0.262  0.840  0.526
Sm  0.473  0.316  0.948
Sm  0.527  0.684  0.052
Sm  0.738  0.160  0.474
Y  0.053  0.369  0.106
Y  0.105  0.736  0.211
Y  0.158  0.106  0.317
Y  0.318  0.212  0.631
Y  0.368  0.579  0.735
Y  0.421  0.948  0.842
Y  0.579  0.052  0.158
Y  0.632  0.421  0.265
Y  0.682  0.788  0.369
Y  0.842  0.894  0.683
Y  0.895  0.264  0.789
Y  0.947  0.631  0.894
Er  0.210  0.474  0.422
Er  0.790  0.526  0.578